Ho4Tm2Pb, optimized geometry, DFT PBE; total energy = -62.62 eV per cell; calculated volume = 30.34 A^3/atom; space group = P2_1/m (11)
1.0
-0.8795 1.0700 5.3548
-6.5114 -1.7357 -0.7226
3.0206 -11.2735 -0.1401
Ho Tm Pb
8 4 2
Direct
0.3577 0.5110 0.7104 Ho
0.2053 0.7500 0.4183 Ho
0.6423 0.4890 0.2896 Ho
0.7947 0.2500 0.5817 Ho
0.6423 0.0110 0.2896 Ho
0.9350 0.7500 0.8591 Ho
0.3577 0.9890 0.7104 Ho
0.0650 0.2500 0.1409 Ho
0.4827 0.2500 0.9793 Tm
0.7800 0.7500 0.5648 Tm
0.5173 0.7500 0.0207 Tm
0.2200 0.2500 0.4352 Tm
0.9197 0.2500 0.8532 Pb
0.0803 0.7500 0.1468 Pb


Ho8TmPb2, optimized geometry, DFT PBE; total energy = -49.16 eV per cell; calculated volume = 30.93 A^3/atom; space group = C2/m (12)
1.0
5.6565 -0.3670 -0.5508
-1.4567 8.6056 -0.7643
-1.4567 -4.0197 7.6473
Pb Ho Tm
2 8 1
Direct
0.0000 0.6944 0.3056 Pb
0.0000 0.3056 0.6944 Pb
0.1212 0.3204 0.0962 Ho
0.8788 0.6796 0.9038 Ho
0.5000 0.2164 0.7836 Ho
0.1212 0.0962 0.3204 Ho
0.5000 0.7836 0.2164 Ho
0.7020 0.4066 0.4066 Ho
0.2980 0.5934 0.5934 Ho
0.8788 0.9038 0.6796 Ho
0.5000 0.0000 0.0000 Tm


Ho2Tm7Pb2, optimized geometry, DFT PBE; total energy = -48.00 eV per cell; calculated volume = 30.39 A^3/atom; space group = C2/m (12)
1.0
-0.8321 1.2639 8.3928
-5.8100 -2.4585 1.2005
2.9183 -5.1586 2.4725
Ho Tm Pb
2 7 2
Direct
0.5000 0.1807 0.8193 Ho
0.5000 0.8193 0.1807 Ho
0.1685 0.1244 0.5187 Tm
0.0000 0.0000 0.0000 Tm
0.4874 0.6903 0.6903 Tm
0.1685 0.5187 0.1244 Tm
0.5126 0.3097 0.3097 Tm
0.8315 0.8756 0.4813 Tm
0.8315 0.4813 0.8756 Tm
0.1599 0.6239 0.6239 Pb
0.8401 0.3761 0.3761 Pb


The highest total energy belongs to which entry? Ho2Tm7Pb2


Look up the calculated volume of the second one. 30.93 A^3/atom


total energy of number 1 (Ho4Tm2Pb)? -62.62 eV per cell


What is the formula in the first record? Ho4Tm2Pb